# 1
Computed, not measured: a relaxed structure of VCdIn2 at the PBE level of DFT.

```
12
Lattice="3.010 0.000 0.000 -1.505 2.607 0.000 0.000 0.000 35.570" Properties=species:S:1:pos:R:3 pbc="T T T"
V 0.000 0.000 0.000
V 0.000 1.738 23.713
V 1.505 0.869 11.857
Cd 0.000 0.000 17.785
Cd 0.000 1.738 5.928
Cd 1.505 0.869 29.642
In 0.000 0.000 2.822
In 0.000 0.000 32.748
In 0.000 1.738 20.891
In 0.000 1.738 26.536
In 1.505 0.869 9.035
In 1.505 0.869 14.679
```

Output
The mass density is 7.0 g/cm3. The calculated formation energy is 571 meV/atom.

---

# 2
Computed, not measured: a relaxed structure of KTePtI2 at the PBE level of DFT.

```
5
Lattice="6.185 0.000 0.000 0.000 6.185 0.000 0.000 0.000 6.314" Properties=species:S:1:pos:R:3 pbc="T T T"
K 0.000 0.000 0.000
Te 0.000 0.000 3.157
Pt 3.093 3.093 3.157
I 0.000 3.093 0.000
I 3.093 0.000 0.000
```

Output
The uncorrected formation energy is 1087 meV per atom. The mass density is 4.2 g/cm3. The excess energy over the best structure of this formula in the dataset comes out at 1.493 eV/atom.

---

# 3
Computed, not measured: a relaxed structure of MgMn2P at the PBE level of DFT.

```
8
Lattice="3.937 0.000 0.000 0.000 3.164 0.000 0.000 0.000 9.526" Properties=species:S:1:pos:R:3 pbc="T T T"
Mg 0.000 0.000 0.000
Mg 0.000 1.582 4.763
Mn 0.000 0.000 2.542
Mn 0.000 1.582 7.305
Mn 1.968 0.000 6.442
Mn 1.968 1.582 1.680
P 1.968 0.000 3.578
P 1.968 1.582 8.341
```

Output
The mass density is 4.6 g/cm3. The calculated formation energy is -9 meV/atom.

---

# 4
Computed, not measured: a relaxed structure of Y6Tm8Sc at the PBE level of DFT.

```
15
Lattice="9.690 0.000 0.000 -4.845 8.392 0.000 0.000 0.000 5.725" Properties=species:S:1:pos:R:3 pbc="T T T"
Y -2.139 5.244 1.356
Y 1.373 3.918 1.356
Y 4.080 0.770 4.368
Y 0.765 7.622 1.356
Y 3.472 4.474 4.368
Y 6.984 3.148 4.368
Tm -3.289 6.565 4.172
Tm 0.804 2.261 4.172
Tm 2.360 0.434 1.553
Tm 0.000 5.595 4.182
Tm 4.845 2.797 1.543
Tm 2.485 7.958 4.172
Tm 4.041 6.131 1.553
Tm 8.134 1.827 1.553
Sc 0.000 0.000 0.000
```

Output
The mass density is 6.9 g/cm3. The calculated formation energy is 140 meV/atom. The excess energy over the best structure of this formula in the dataset comes out at 0.024 eV/atom.

---

no.,total magnetization (μB per cell)
1,4.4
2,0.7
3,10.5
4,0.0